one.
Entry from OQMD via LeMat-Bulk: crystalline Tb2Ho at its relaxed geometry (PBE-GGA).

abc: 8.825 8.825 8.825
angles: 60.00 60.00 60.00
Positions (direct):
Tb 0.375 0.375 0.375
Tb 0.375 0.375 0.875
Tb 0.375 0.875 0.375
Tb 0.875 0.375 0.375
Ho 0.250 0.250 0.250
Ho 0.500 0.500 0.500

Values from the calculation:
The total moment is 0.01 Bohr magnetons per cell. The space group is Fd-3m, No. 227.

---

two.
Entry from OQMD via LeMat-Bulk: crystalline Tb2Ho at its relaxed geometry (PBE-GGA).

abc: 6.532 6.532 6.532
angles: 60.00 60.00 60.00
Positions (direct):
Tb 0.625 0.125 0.625
Tb 0.625 0.625 0.625
Tb 0.125 0.625 0.625
Tb 0.625 0.625 0.125
Ho 0.000 0.000 0.000
Ho 0.250 0.250 0.250

Values from the calculation:
The total moment is 0.05 Bohr magnetons per cell. The space group is Fd-3m, No. 227.

---

two (226.8 kJ/mol of atoms below the next structure)

---

one.
Entry from OQMD via LeMat-Bulk: crystalline TbHoTe2 at its relaxed geometry (PBE-GGA).

abc: 4.346 4.346 6.153
angles: 90.00 90.00 90.00
Positions (direct):
Ho 0.000 0.000 0.000
Te 0.500 0.500 0.000
Te 0.000 0.000 0.500
Tb 0.500 0.500 0.500

Values from the calculation:
The total moment is 0.00 Bohr magnetons per cell. The space group is P4/mmm, No. 123.

---

two.
Entry from OQMD via LeMat-Bulk: crystalline TbHoTe2 at its relaxed geometry (PBE-GGA).

abc: 7.667 7.667 4.063
angles: 90.00 90.00 90.00
Positions (direct):
Te 0.717 0.783 0.677
Te 0.783 0.283 0.323
Te 0.217 0.717 0.323
Te 0.283 0.217 0.677
Ho 0.000 0.000 0.000
Ho 0.500 0.500 0.000
Tb 0.500 0.000 0.183
Tb 0.000 0.500 0.817

Values from the calculation:
The total moment is 0.57 Bohr magnetons per cell. The space group is P-42_1m, No. 113.

---

one (16.1 kJ/mol of atoms below the next structure)

---

one.
Entry from OQMD via LeMat-Bulk: crystalline HoZnTc at its relaxed geometry (PBE-GGA).

abc: 4.598 4.598 4.598
angles: 60.00 60.00 60.00
Positions (direct):
Tc 0.250 0.250 0.250
Zn 0.750 0.750 0.750
Ho 0.000 0.000 0.000

Values from the calculation:
The total moment is 1.75 Bohr magnetons per cell. The space group is F-43m, No. 216.

---

two.
Entry from OQMD via LeMat-Bulk: crystalline HoZnTc at its relaxed geometry (PBE-GGA).

abc: 4.435 4.435 4.435
angles: 60.00 60.00 60.00
Positions (direct):
Ho 0.250 0.250 0.250
Tc 0.750 0.750 0.750
Zn 0.000 0.000 0.000

Values from the calculation:
The total moment is 0.47 Bohr magnetons per cell. The space group is F-43m, No. 216.

---

two (60.3 kJ/mol of atoms below the next structure)

---

one.
Entry from OQMD via LeMat-Bulk: crystalline HoTmTlTe3 at its relaxed geometry (PBE-GGA).

abc: 7.961 7.961 11.936
angles: 90.00 90.00 148.23
Positions (direct):
Te 0.142 0.858 0.977
Te 0.142 0.858 0.523
Te 0.562 0.438 0.250
Te 0.858 0.142 0.023
Te 0.858 0.142 0.477
Te 0.438 0.562 0.750
Tl 0.248 0.752 0.250
Tl 0.752 0.248 0.750
Ho 0.930 0.070 0.250
Ho 0.070 0.930 0.750
Tm 0.500 0.500 0.000
Tm 0.500 0.500 0.500

Values from the calculation:
The total moment is 0.70 Bohr magnetons per cell. The space group is Cmcm, No. 63.

---

two.
Entry from OQMD via LeMat-Bulk: crystalline HoTmTlTe3 at its relaxed geometry (PBE-GGA).

abc: 7.966 7.966 11.936
angles: 90.00 90.00 148.02
Positions (direct):
Tm 0.065 0.935 0.750
Tm 0.935 0.065 0.250
Te 0.858 0.142 0.472
Te 0.436 0.564 0.750
Te 0.142 0.858 0.972
Te 0.142 0.858 0.528
Te 0.858 0.142 0.028
Te 0.564 0.436 0.250
Tl 0.251 0.749 0.250
Tl 0.749 0.251 0.750
Ho 0.500 0.500 0.000
Ho 0.500 0.500 0.500

Values from the calculation:
The total moment is 0.46 Bohr magnetons per cell. The space group is Cmcm, No. 63.

---

three.
Entry from OQMD via LeMat-Bulk: crystalline HoTmTlTe3 at its relaxed geometry (PBE-GGA).

abc: 9.676 9.676 10.051
angles: 102.96 102.96 25.90
Positions (direct):
Tm 0.498 0.498 0.791
Tm 0.502 0.502 0.209
Te 0.666 0.666 0.287
Te 0.000 0.000 0.000
Te 0.500 0.500 0.500
Te 0.335 0.335 0.150
Te 0.334 0.334 0.713
Te 0.665 0.665 0.850
Ho 0.830 0.830 0.927
Ho 0.170 0.170 0.073
Tl 0.856 0.856 0.448
Tl 0.144 0.144 0.552

Values from the calculation:
The total moment is 0.01 Bohr magnetons per cell. The space group is C2/m, No. 12.

---

three (6.6 kJ/mol of atoms below the next structure)